(1)
# ReI3O

A relaxed ReI3O crystal (PBE-GGA, the Alexandria database).

abc: 5.361 5.361 5.361
angles: 90.00 90.00 90.00
Fractional coordinates of all 5 atoms:
1 I 0.500 0.000 0.000
2 I 0.000 0.000 0.500
3 Re 0.000 0.000 0.000
4 O 0.500 0.500 0.500
5 I 0.000 0.500 0.000

Output
- E_form (uncorrected): 1.176 eV per atom


(2)
# AlINF2

A relaxed AlINF2 crystal (PBE-GGA, the Alexandria database).

abc: 3.688 3.688 4.696
angles: 90.00 90.00 90.00
Fractional coordinates of all 5 atoms:
1 Al 0.000 0.000 0.000
2 F 0.000 0.500 0.000
3 I 0.500 0.500 0.500
4 F 0.500 0.000 0.000
5 N 0.000 0.000 0.500

Output
- E_form (uncorrected): -1.137 eV per atom


(3)
# Rb3Ce2PuTe6

A relaxed Rb3Ce2PuTe6 crystal (PBE-GGA, the Alexandria database).

abc: 8.098 8.098 8.921
angles: 98.70 98.70 120.01
Site moments in Bohr magnetons follow the coordinates.
Fractional coordinates of all 12 atoms:
1 Rb 0.167 0.833 0.500  0.00
2 Te 0.067 0.402 0.202  -0.01
3 Te 0.933 0.598 0.798  -0.01
4 Te 0.733 0.733 0.202  -0.01
5 Te 0.402 0.067 0.202  -0.01
6 Ce 0.667 0.333 0.000  -0.76
7 Pu 0.000 0.000 0.000  5.34
8 Rb 0.833 0.167 0.500  0.00
9 Te 0.267 0.267 0.798  -0.01
10 Rb 0.500 0.500 0.500  0.00
11 Te 0.598 0.933 0.798  -0.01
12 Ce 0.333 0.667 0.000  -0.76

Output
- E_form (uncorrected): -1.258 eV per atom


(4)
# RbRe2NiSe8

A relaxed RbRe2NiSe8 crystal (PBE-GGA, the Alexandria database).

abc: 6.290 6.290 10.424
angles: 72.44 72.44 60.00
Fractional coordinates of all 12 atoms:
1 Re 0.744 0.744 0.768
2 Se 0.628 0.282 0.144
3 Se 0.282 0.945 0.144
4 Se 0.822 0.822 0.533
5 Se 0.055 0.372 0.856
6 Se 0.372 0.718 0.856
7 Re 0.256 0.256 0.232
8 Se 0.718 0.055 0.856
9 Ni 0.000 0.000 0.000
10 Se 0.945 0.628 0.144
11 Rb 0.500 0.500 0.500
12 Se 0.178 0.178 0.467

Output
- E_form (uncorrected): -0.235 eV per atom


(5)
# La2Cu2O5

A relaxed La2Cu2O5 crystal (PBE-GGA, the Alexandria database).

abc: 6.658 6.658 5.599
angles: 90.00 90.00 90.00
Site moments in Bohr magnetons follow the coordinates.
Fractional coordinates of all 18 atoms:
1 La 0.111 0.266 0.000  0.00
2 O 0.213 0.593 0.241  0.05
3 Cu 0.686 0.589 0.500  0.16
4 O 0.593 0.787 0.259  0.05
5 O 0.593 0.787 0.741  0.05
6 La 0.266 0.889 0.500  0.00
7 O 0.787 0.407 0.241  0.05
8 La 0.889 0.734 0.000  0.00
9 O 0.407 0.213 0.259  0.05
10 O 0.000 0.000 0.250  0.00
11 Cu 0.411 0.686 0.000  0.16
12 O 0.787 0.407 0.759  0.05
13 O 0.407 0.213 0.741  0.05
14 O 0.213 0.593 0.759  0.05
15 O 0.000 0.000 0.750  0.00
16 La 0.734 0.111 0.500  0.00
17 Cu 0.314 0.411 0.500  0.16
18 Cu 0.589 0.314 0.000  0.16

Output
- E_form (uncorrected): -2.150 eV per atom


(6)
# RbCaSb2O

A relaxed RbCaSb2O crystal (PBE-GGA, the Alexandria database).

abc: 5.719 8.495 5.719
angles: 90.00 90.00 90.00
Site moments in Bohr magnetons follow the coordinates.
Fractional coordinates of all 5 atoms:
1 Sb 0.500 0.000 0.000  -0.02
2 Ca 0.000 0.000 0.000  -0.01
3 Rb 0.000 0.500 0.000  0.00
4 Sb 0.000 0.000 0.500  -0.08
5 O 0.500 0.500 0.500  -0.26

Output
- E_form (uncorrected): 0.596 eV per atom


(7)
# NdYZnAg

A relaxed NdYZnAg crystal (PBE-GGA, the Alexandria database).

abc: 5.195 5.195 5.195
angles: 60.00 60.00 60.00
Fractional coordinates of all 4 atoms:
1 Y 0.750 0.750 0.750
2 Zn 0.500 0.500 0.500
3 Ag 0.000 0.000 0.000
4 Nd 0.250 0.250 0.250

Output
- DFT total energy: -16.558 eV for the cell shown


(8)
# Zn2InCl

A relaxed Zn2InCl crystal (PBE-GGA, the Alexandria database).

abc: 6.209 6.209 5.043
angles: 66.41 66.41 30.53
Fractional coordinates of all 4 atoms:
1 Zn 0.996 0.996 0.002
2 In 0.250 0.250 0.250
3 Zn 0.504 0.504 0.498
4 Cl 0.750 0.750 0.750

Output
- E_form (uncorrected): -0.089 eV per atom